Version one
TlHg2As | PBE-GGA | optimized geometry

Calculated values
Spin magnetization ... 0.0 μB/f.u.
Calculated volume ... 25.4 A^3/atom
D(E_F) ... 0.66 states/eV per atom

a b c (Å): 3.397 3.397 8.808
angles (deg): 90.00 90.00 90.00
Space group P4/mmm (No. 123)
One atom of each set of equivalent atoms:
Tl 0.000 0.000 0.000
Hg 0.500 0.500 0.277
As 0.000 0.000 0.500


Version two
TlHg2As | PBE-GGA | optimized geometry

Calculated values
Spin magnetization ... 0.0 μB/f.u.
Calculated volume ... 26.2 A^3/atom
D(E_F) ... 0.36 states/eV per atom

a b c (Å): 3.448 3.448 8.822
angles (deg): 90.00 90.00 90.00
Space group P4mm (No. 99)
One atom of each set of equivalent atoms:
Tl 0.000 0.000 0.000
Hg 0.000 0.000 0.456
Hg 0.500 0.500 0.704
As 0.500 0.500 0.244


Relative energies, meV/atom: version one 39; version two 0.


Version one
TlHg2As | PBE-GGA | optimized geometry

Calculated values
Spin magnetization ... 0.0 μB/f.u.
Calculated volume ... 25.1 A^3/atom
D(E_F) ... 0.22 states/eV per atom

a b c (Å): 3.3336 3.3336 31.2990
angles (deg): 90.00 90.00 120.00
Space group R-3m (No. 166, hexagonal axes)
One atom of each set of equivalent atoms:
Tl 0.0000 0.0000 0.0000
Hg 0.0000 0.0000 0.2448
As 0.0000 0.0000 0.5000


Version two
TlHg2As | PBE-GGA | optimized geometry

Calculated values
Spin magnetization ... 0.0 μB/f.u.
Calculated volume ... 25.5 A^3/atom
D(E_F) ... 0.49 states/eV per atom

a b c (Å): 7.415 7.415 7.415
angles (deg): 90.00 90.00 90.00
Space group Fm-3m (No. 225)
One atom of each set of equivalent atoms:
Tl 0.000 0.000 0.000
Hg 0.250 0.250 0.250
As 0.000 0.000 0.500


Version three
TlHg2As | PBE-GGA | optimized geometry

Calculated values
Spin magnetization ... 0.0 μB/f.u.
Calculated volume ... 25.4 A^3/atom
D(E_F) ... 0.22 states/eV per atom

a b c (Å): 7.404 7.404 7.404
angles (deg): 90.00 90.00 90.00
Space group F-43m (No. 216)
One atom of each set of equivalent atoms:
Tl 0.000 0.000 0.000
Hg 0.000 0.000 0.500
Hg 0.250 0.250 0.750
As 0.250 0.250 0.250


Relative energies, meV/atom: version one 73; version two 12; version three 0.


Version one
TlHg2As | PBE-GGA | optimized geometry

Calculated values
Spin magnetization ... 0.0 μB/f.u.
Calculated volume ... 27.0 A^3/atom
D(E_F) ... 0.57 states/eV per atom

a b c (Å): 12.971 3.075 5.913
angles (deg): 90.00 113.88 90.00
Space group C2/m (No. 12)
One atom of each set of equivalent atoms:
Tl 0.000 0.000 0.000
Hg 0.235 0.500 0.738
As 0.000 0.500 0.500


Version two
TlHg2As | PBE-GGA | optimized geometry

Calculated values
Spin magnetization ... 0.0 μB/f.u.
Calculated volume ... 27.1 A^3/atom
D(E_F) ... 0.32 states/eV per atom

a b c (Å): 4.225 4.542 11.292
angles (deg): 90.00 90.00 90.00
Space group Cmm2 (No. 35)
One atom of each set of equivalent atoms:
Tl 0.000 0.000 0.000
Hg 0.000 0.000 0.455
Hg 0.000 0.500 0.716
As 0.000 0.500 0.215


Version three
TlHg2As | PBE-GGA | optimized geometry

Calculated values
Spin magnetization ... 0.0 μB/f.u.
Calculated volume ... 25.6 A^3/atom
D(E_F) ... 0.68 states/eV per atom

a b c (Å): 4.130 5.307 9.353
angles (deg): 90.00 90.00 90.00
Space group Cmmm (No. 65)
One atom of each set of equivalent atoms:
Tl 0.000 0.000 0.000
Hg 0.000 0.500 0.274
As 0.000 0.000 0.500


Version four
TlHg2As | PBE-GGA | optimized geometry

Calculated values
Spin magnetization ... 0.0 μB/f.u.
Calculated volume ... 27.8 A^3/atom
D(E_F) ... 0.29 states/eV per atom

a b c (Å): 3.817 4.229 13.797
angles (deg): 90.00 90.00 90.00
Space group Imm2 (No. 44)
One atom of each set of equivalent atoms:
Tl 0.000 0.000 0.000
Hg 0.000 0.000 0.381
Hg 0.000 0.500 0.196
As 0.000 0.500 0.689


Relative energies, meV/atom: version one 22; version two 50; version three 90; version four 0.


Version one
TlHg2As | PBE-GGA | optimized geometry

Calculated values
Spin magnetization ... 0.0 μB/f.u.
Calculated volume ... 26.3 A^3/atom
D(E_F) ... 0.71 states/eV per atom

a b c (Å): 3.2618 3.2618 34.2274
angles (deg): 90.00 90.00 120.00
Space group R3m (No. 160, hexagonal axes)
One atom of each set of equivalent atoms:
Tl 0.0000 0.0000 0.0000
Hg 0.0000 0.0000 0.2399
Hg 0.0000 0.0000 0.4891
As 0.0000 0.0000 0.7422


Version two
TlHg2As | PBE-GGA | optimized geometry

Calculated values
Spin magnetization ... 0.0 μB/f.u.
Calculated volume ... 25.3 A^3/atom
D(E_F) ... 0.46 states/eV per atom

a b c (Å): 7.051 8.595 3.336
angles (deg): 90.00 90.00 90.00
Space group Cmmm (No. 65)
One atom of each set of equivalent atoms:
Tl 0.000 0.000 0.000
Hg 0.250 0.250 0.500
As 0.000 0.500 0.000


Version three
TlHg2As | PBE-GGA | optimized geometry

Calculated values
Spin magnetization ... 0.0 μB/f.u.
Calculated volume ... 27.0 A^3/atom
D(E_F) ... 0.55 states/eV per atom

a b c (Å): 3.268 5.603 5.888
angles (deg): 90.00 90.00 90.00
Space group Pmmm (No. 47)
One atom of each set of equivalent atoms:
Tl 0.000 0.000 0.000
Hg 0.000 0.000 0.500
Hg 0.500 0.500 0.500
As 0.500 0.500 0.000


Relative energies, meV/atom: version one 55; version two 83; version three 0.


Version one
Tl3HgAs | PBE-GGA | optimized geometry

Calculated values
Spin magnetization ... 0.0 μB/f.u.
Calculated volume ... 37.2 A^3/atom
D(E_F) ... 0.89 states/eV per atom

a b c (Å): 5.710 5.710 5.710
angles (deg): 90.00 90.00 90.00
Space group Pm-3m (No. 221)
One atom of each set of equivalent atoms:
Tl 0.000 0.000 0.500
Hg 0.500 0.500 0.500
As 0.000 0.000 0.000


Version two
Tl3HgAs | PBE-GGA | optimized geometry

Calculated values
Spin magnetization ... 0.0 μB/f.u.
Calculated volume ... 30.2 A^3/atom
D(E_F) ... 0.31 states/eV per atom

a b c (Å): 6.698 10.412 17.339
angles (deg): 90.00 90.00 90.00
Space group Fmmm (No. 69)
One atom of each set of equivalent atoms:
Tl 0.000 0.000 0.193
Tl 0.000 0.191 0.395
Hg 0.217 0.000 0.000
As 0.250 0.250 0.250


Version three
Tl3HgAs | PBE-GGA | optimized geometry

Calculated values
Spin magnetization ... 0.0 μB/f.u.
Calculated volume ... 36.3 A^3/atom
D(E_F) ... 1.02 states/eV per atom

a b c (Å): 5.664 5.664 5.664
angles (deg): 90.00 90.00 90.00
Space group Pm-3m (No. 221)
One atom of each set of equivalent atoms:
Tl 0.000 0.000 0.500
Hg 0.000 0.000 0.000
As 0.500 0.500 0.500


Relative energies, meV/atom: version one 219; version two 0; version three 468.


Version one
TlHg3As | PBE-GGA | optimized geometry

Calculated values
Spin magnetization ... 0.0 μB/f.u.
Calculated volume ... 32.3 A^3/atom
D(E_F) ... 1.15 states/eV per atom

a b c (Å): 5.446 5.446 5.446
angles (deg): 90.00 90.00 90.00
Space group Pm-3m (No. 221)
One atom of each set of equivalent atoms:
Tl 0.000 0.000 0.000
Hg 0.000 0.500 0.500
As 0.500 0.500 0.500


Version two
TlHg3As | PBE-GGA | optimized geometry

Calculated values
Spin magnetization ... 2.2 μB/f.u.
Calculated volume ... 40.6 A^3/atom
D(E_F) ... 0.78 states/eV per atom

a b c (Å): 5.875 5.875 5.875
angles (deg): 90.00 90.00 90.00
Space group Pm-3m (No. 221)
One atom of each set of equivalent atoms:
Tl 0.000 0.000 0.000
Hg 0.000 0.000 0.500
As 0.500 0.500 0.500


Relative energies, meV/atom: version one 0; version two 407.